InBiO3: relaxed, GGA-PBEsol.

The final energy is -6.015 eV/atom. As for the formation energy from raw total energies: -681 kJ/mol of formula units.

The space group is Pna2_1 (No. 33) and the conventional cell measures 5.970, 5.635 and 8.287 Å, with angles of 90.00, 90.00 and 90.00 degrees. The asymmetric unit holds In at (0.002, 0.001, 0.000), Bi at (0.059, 0.499, 0.726), O at (0.051, 0.116, 0.257), O at (0.160, 0.658, 0.485) and O at (0.210, 0.698, 0.080).